(1)
# GGA-PBE TiGa2Co2, relaxed
# Energy of formation from the pure elements ... -1.4 eV per formula unit
# M_tot ... 0.000 μB/cell
# Raw total energy ... -0.4345 Ry/atom
# Fermi-level density of states ... 4.00 states/eV/f.u.
# Distance to the lowest polymorph of the same formula ... 0.04 kcal/mol of atoms
data_TiGa2Co2
_symmetry_space_group_name_H-M 'P 4/m b m'
_symmetry_Int_Tables_number 127
_symmetry_space_group_name_Hall '-P 4 2ab'
_cell_length_a 7.027
_cell_length_b 7.027
_cell_length_c 2.669
_cell_angle_alpha 90.00
_cell_angle_beta 90.00
_cell_angle_gamma 90.00
loop_
_atom_site_label
_atom_site_fract_x
_atom_site_fract_y
_atom_site_fract_z
Ti1 0.000 0.000 0.000
Ga1 0.130 0.370 0.000
Co1 0.169 0.669 0.500

***

(2)
# GGA-PBE CdSbTe2Mo, relaxed
# M_tot ... 3.321 μB/cell
# Raw total energy ... -0.2317 Ry/atom
# Fermi-level density of states ... 5.42 states/eV/f.u.
# Distance to the lowest polymorph of the same formula ... 19.86 kcal/mol of atoms
# E_form (uncorrected) ... 616 kJ/mol of formula units
data_CdSbTe2Mo
_symmetry_space_group_name_H-M 'P 4/m m m'
_symmetry_Int_Tables_number 123
_symmetry_space_group_name_Hall '-P 4 2'
_cell_length_a 5.583
_cell_length_b 5.583
_cell_length_c 5.403
_cell_angle_alpha 90.00
_cell_angle_beta 90.00
_cell_angle_gamma 90.00
loop_
_atom_site_label
_atom_site_fract_x
_atom_site_fract_y
_atom_site_fract_z
Cd1 0.000 0.000 0.000
Sb1 0.000 0.000 0.500
Te1 0.000 0.500 0.000
Mo1 0.500 0.500 0.500

***

(3)
# GGA-PBE ReTc5Ru2, relaxed
# Energy of formation from the pure elements ... 0.4 eV per formula unit
# M_tot ... 0.000 μB/cell
# Raw total energy ... -0.7575 Ry/atom
# Fermi-level density of states ... 9.95 states/eV/f.u.
data_ReTc5Ru2
_symmetry_space_group_name_H-M 'I 4/m m m'
_symmetry_Int_Tables_number 139
_symmetry_space_group_name_Hall '-I 4 2'
_cell_length_a 5.470
_cell_length_b 5.470
_cell_length_c 7.747
_cell_angle_alpha 90.00
_cell_angle_beta 90.00
_cell_angle_gamma 90.00
loop_
_atom_site_label
_atom_site_fract_x
_atom_site_fract_y
_atom_site_fract_z
Re1 0.000 0.000 0.000
Tc1 0.000 0.000 0.500
Tc2 0.250 0.250 0.250
Ru1 0.000 0.500 0.000

***

(4)
# GGA-PBE LiThInOs, relaxed
# Energy of formation from the pure elements ... -0.6 eV per formula unit
# M_tot ... 0.000 μB/cell
# Raw total energy ... -0.4386 Ry/atom
# Fermi-level density of states ... 4.10 states/eV/f.u.
data_LiThInOs
_symmetry_space_group_name_H-M 'F -4 3 m'
_symmetry_Int_Tables_number 216
_symmetry_space_group_name_Hall 'F -4 2 3'
_cell_length_a 6.870
_cell_length_b 6.870
_cell_length_c 6.870
_cell_angle_alpha 90.00
_cell_angle_beta 90.00
_cell_angle_gamma 90.00
loop_
_atom_site_label
_atom_site_fract_x
_atom_site_fract_y
_atom_site_fract_z
Li1 0.000 0.000 0.000
Th1 0.250 0.250 0.250
In1 0.250 0.250 0.750
Os1 0.000 0.000 0.500

***

(5)
# GGA-PBE InCuP2, relaxed
# Energy of formation from the pure elements ... 0.8 eV per formula unit
# M_tot ... 0.000 μB/cell
# Raw total energy ... -0.3098 Ry/atom
# Fermi-level density of states ... 1.24 states/eV/f.u.
data_InCuP2
_symmetry_space_group_name_H-M 'P m m 2'
_symmetry_Int_Tables_number 25
_cell_length_a 2.989
_cell_length_b 3.726
_cell_length_c 6.853
_cell_angle_alpha 90.00
_cell_angle_beta 90.00
_cell_angle_gamma 90.00
loop_
_symmetry_equiv_pos_as_xyz
'x,y,z'
'-x,-y,z'
'-x,y,z'
'x,-y,z'
loop_
_atom_site_label
_atom_site_fract_x
_atom_site_fract_y
_atom_site_fract_z
In1 0.000 0.000 0.000
Cu1 0.500 0.500 0.535
P1 0.000 0.000 0.625
P2 0.500 0.500 0.190

***

(6)
# GGA-PBE Hf6Ga2Ni, relaxed
# Energy of formation from the pure elements ... -1.9 eV per formula unit
# M_tot ... 0.000 μB/cell
# Raw total energy ... -0.5996 Ry/atom
# Fermi-level density of states ... 9.06 states/eV/f.u.
data_Hf6Ga2Ni
_symmetry_space_group_name_H-M 'P 1 21/c 1'
_symmetry_Int_Tables_number 14
_cell_length_a 5.584
_cell_length_b 7.177
_cell_length_c 10.558
_cell_angle_alpha 90.00
_cell_angle_beta 121.79
_cell_angle_gamma 90.00
loop_
_symmetry_equiv_pos_as_xyz
'x,y,z'
'-x,-y,-z'
'-x,y+1/2,-z+1/2'
'x,-y+1/2,z+1/2'
loop_
_atom_site_label
_atom_site_fract_x
_atom_site_fract_y
_atom_site_fract_z
Hf1 0.083 0.162 0.451
Hf2 0.337 0.702 0.453
Hf3 0.407 0.036 0.261
Ga1 0.154 0.114 0.759
Ni1 0.000 0.000 0.000

***

(7)
# GGA-PBE BaLi2Ca, relaxed
# Energy of formation from the pure elements ... 0.7 eV per formula unit
# M_tot ... 0.001 μB/cell
# Raw total energy ... -0.1299 Ry/atom
# Fermi-level density of states ... 4.08 states/eV/f.u.
# Distance to the lowest polymorph of the same formula ... 3.14 kcal/mol of atoms
data_BaLi2Ca
_symmetry_space_group_name_H-M 'R 3 m'
_symmetry_Int_Tables_number 160
_symmetry_space_group_name_Hall 'R 3 -2"'
_cell_length_a 3.9515
_cell_length_b 3.9515
_cell_length_c 33.8778
_cell_angle_alpha 90.00
_cell_angle_beta 90.00
_cell_angle_gamma 120.00
loop_
_atom_site_label
_atom_site_fract_x
_atom_site_fract_y
_atom_site_fract_z
Ba1 0.0000 0.0000 0.0000
Li1 0.0000 0.0000 0.5784
Li2 0.0000 0.0000 0.7542
Ca1 0.0000 0.0000 0.1663

***

(8)
# GGA-PBE Ge2BPt8, relaxed
# Energy of formation from the pure elements ... -2.5 eV per formula unit
# M_tot ... 0.000 μB/cell
# Raw total energy ... -0.4459 Ry/atom
# Fermi-level density of states ... 4.84 states/eV/f.u.
data_Ge2BPt8
_symmetry_space_group_name_H-M 'C 1 2/m 1'
_symmetry_Int_Tables_number 12
_cell_length_a 17.215
_cell_length_b 3.757
_cell_length_c 5.486
_cell_angle_alpha 90.00
_cell_angle_beta 105.19
_cell_angle_gamma 90.00
loop_
_symmetry_equiv_pos_as_xyz
'x,y,z'
'-x,-y,-z'
'-x,y,-z'
'x,-y,z'
'x+1/2,y+1/2,z'
'-x+1/2,-y+1/2,-z'
'-x+1/2,y+1/2,-z'
'x+1/2,-y+1/2,z'
loop_
_atom_site_label
_atom_site_fract_x
_atom_site_fract_y
_atom_site_fract_z
Ge1 0.172 0.000 0.181
B1 0.000 0.500 0.500
Pt1 0.015 0.000 0.760
Pt2 0.107 0.500 0.377
Pt3 0.137 0.500 0.882
Pt4 0.223 0.000 0.671